(P)
Here is a relaxed Cd2ReCl crystal from the Alexandria database. Energies are from GGA-PBEsol.

POSCAR file:
```
Cd2ReCl
1.0
4.0917 0.0000 0.0000
0.0000 4.0917 0.0000
-2.0458 -2.0458 4.4758
Cd Re Cl
2 1 1
direct
0.0000 0.0000 0.0000
0.7500 0.2500 0.5000
0.2500 0.7500 0.5000
0.5000 0.5000 0.0000
```

- total moment (μB/cell) = 2.322

(Q)
Here is a relaxed Cd2ReCl crystal from the Alexandria database. Energies are from GGA-PBEsol.

POSCAR file:
```
Cd2ReCl
1.0
4.8277 0.0000 0.0000
2.4138 4.1809 0.0000
2.4138 1.3936 3.9418
Re Cl Cd
1 1 2
direct
0.5000 0.5000 0.5000
0.0000 0.0000 0.0000
0.2500 0.2500 0.2500
0.7500 0.7500 0.7500
```

- total moment (μB/cell) = 2.728

The most stable of them is (P).

(P)
Here is a relaxed CdRu2Cl crystal from the Alexandria database. Energies are from GGA-PBEsol.

POSCAR file:
```
CdRu2Cl
1.0
2.8743 0.0000 0.0000
1.4371 2.4892 0.0000
1.4371 0.8297 8.7669
Cl Ru Cd
1 2 1
direct
0.2614 0.2614 0.2158
0.7414 0.7414 0.7759
0.0009 0.0009 0.9972
0.4963 0.4963 0.5111
```

- total moment (μB/cell) = 0.000

(Q)
Here is a relaxed CdRu2Cl crystal from the Alexandria database. Energies are from GGA-PBEsol.

POSCAR file:
```
CdRu2Cl
1.0
3.7872 0.0000 0.0000
0.0000 3.7872 0.0000
0.0000 0.0000 4.6921
Cd Ru Cl
1 2 1
direct
0.5000 0.5000 0.5000
0.0000 0.5000 0.0000
0.5000 0.0000 0.0000
0.0000 0.0000 0.5000
```

- total moment (μB/cell) = 3.780

The most stable of them is (P).

(P)
Here is a relaxed Cd5S4Cl2 crystal from the Alexandria database. Energies are from GGA-PBEsol.

POSCAR file:
```
Cd5S4Cl2
1.0
-4.3065 -1.5552 -4.7578
-5.2037 -8.0353 2.7546
-8.8902 3.9299 2.1803
S Cd Cl
8 10 4
direct
0.9668 0.6947 0.9805
0.0332 0.3053 0.0195
0.5332 0.5195 0.8053
0.3580 0.9805 0.6947
0.6420 0.0195 0.3053
0.8580 0.1947 0.4805
0.4668 0.4805 0.1947
0.1420 0.8053 0.5195
0.8058 0.4009 0.5991
0.2500 0.7500 0.7500
0.7500 0.2500 0.2500
0.6942 0.9009 0.0991
0.7500 0.5492 0.9508
0.1942 0.5991 0.4009
0.7500 0.9508 0.5492
0.3058 0.0991 0.9009
0.2500 0.4508 0.0492
0.2500 0.0492 0.4508
0.6945 0.1078 0.8922
0.3055 0.8922 0.1078
0.8055 0.6078 0.3922
0.1945 0.3922 0.6078
```

- total moment (μB/cell) = 0.000

(Q)
Here is a relaxed Cd5S4Cl2 crystal from the Alexandria database. Energies are from GGA-PBEsol.

POSCAR file:
```
Cd5S4Cl2
1.0
-0.8020 -0.6104 4.0916
-0.2030 -6.6523 -3.2020
9.4341 0.4141 1.9109
Cd Cl S
5 2 4
direct
0.8316 0.6632 0.9897
0.8553 0.7105 0.6161
0.4501 0.9001 0.3308
0.5546 0.1092 0.9256
0.1819 0.3638 0.2738
0.6927 0.3854 0.7848
0.0244 0.0489 0.4667
0.5937 0.1874 0.1899
0.3174 0.6347 0.1199
0.9646 0.9292 0.8461
0.3119 0.6238 0.4883
```

- total moment (μB/cell) = 0.000

The most stable of them is (Q).

(P)
Here is a relaxed CdSbCl2 crystal from the Alexandria database. Energies are from GGA-PBEsol.

POSCAR file:
```
CdSbCl2
1.0
3.4888 0.0000 0.0000
1.7444 3.0214 0.0000
1.7444 1.0071 11.0156
Cd Cl Sb
1 2 1
direct
0.0000 0.0000 0.0000
0.7156 0.7156 0.8531
0.2844 0.2844 0.1469
0.5000 0.5000 0.5000
```

- total moment (μB/cell) = 0.000

(Q)
Here is a relaxed CdSbCl2 crystal from the Alexandria database. Energies are from GGA-PBEsol.

POSCAR file:
```
CdSbCl2
1.0
4.0145 0.0000 0.0000
0.0000 4.0145 0.0000
-2.0073 -2.0073 5.9086
Cl Sb Cd
2 1 1
direct
0.7500 0.2500 0.5000
0.0000 0.0000 0.0000
0.5000 0.5000 0.0000
0.2500 0.7500 0.5000
```

- total moment (μB/cell) = 0.002

(R)
Here is a relaxed CdSbCl2 crystal from the Alexandria database. Energies are from GGA-PBEsol.

POSCAR file:
```
CdSbCl2
1.0
-0.9318 3.0229 1.8737
-0.8121 -0.2325 3.5782
7.7424 2.2708 3.7935
Sb Cl Cd
1 2 1
direct
0.5026 0.5026 0.4921
0.7616 0.7616 0.7151
0.9811 0.9811 0.0567
0.2546 0.2546 0.2361
```

- total moment (μB/cell) = 0.000

The most stable of them is (P).

(P)
Here is a relaxed CdSbCl2 crystal from the Alexandria database. Energies are from GGA-PBEsol.

POSCAR file:
```
CdSbCl2
1.0
4.3393 0.0000 0.0000
0.0000 4.5258 0.0000
0.0000 0.0000 4.5258
Cl Sb Cd
2 1 1
direct
0.0000 0.5000 0.0000
0.0000 0.0000 0.5000
0.5000 0.5000 0.5000
0.5000 0.0000 0.0000
```

- total moment (μB/cell) = 0.000

(Q)
Here is a relaxed CdSbCl2 crystal from the Alexandria database. Energies are from GGA-PBEsol.

POSCAR file:
```
CdSbCl2
1.0
3.6007 0.0000 0.0000
0.0000 5.5216 0.0000
-1.8004 -2.7608 4.9394
Cl Cd Sb
2 1 1
direct
0.2054 0.2054 0.4109
0.7946 0.7946 0.5891
0.0000 0.5000 0.0000
0.5000 0.0000 0.0000
```

- total moment (μB/cell) = 0.000

The most stable of them is (Q).

(P)
Here is a relaxed CdSbCl crystal from the Alexandria database. Energies are from GGA-PBEsol.

POSCAR file:
```
CdSbCl
1.0
-3.6480 -3.2601 0.4423
0.6200 -4.0214 2.7524
-2.3901 -0.4475 4.2684
Cl Sb Cd
1 1 1
direct
0.5000 0.5000 0.5000
0.2500 0.2500 0.2500
0.0000 0.0000 0.0000
```

- total moment (μB/cell) = 0.027

(Q)
Here is a relaxed CdSbCl crystal from the Alexandria database. Energies are from GGA-PBEsol.

POSCAR file:
```
CdSbCl
1.0
-3.1921 0.5205 1.2234
0.5236 -0.2658 -3.4077
-1.0110 -7.1457 0.4019
Cd Cl Sb
1 1 1
direct
0.0000 0.0000 0.9734
0.3333 0.6667 0.7356
0.6667 0.3333 0.2910
```

- total moment (μB/cell) = 0.000

The most stable of them is (Q).

(P)
Here is a relaxed Sc2CdCl crystal from the Alexandria database. Energies are from GGA-PBEsol.

POSCAR file:
```
Sc2CdCl
1.0
3.1930 0.0000 0.0000
0.0000 3.1930 0.0000
0.0000 0.0000 9.0328
Cl Sc Cd
1 2 1
direct
0.5000 0.5000 0.8202
0.0000 0.0000 0.9810
0.5000 0.5000 0.2369
0.0000 0.0000 0.4618
```

- total moment (μB/cell) = 0.254

(Q)
Here is a relaxed Sc2CdCl crystal from the Alexandria database. Energies are from GGA-PBEsol.

POSCAR file:
```
Sc2CdCl
1.0
-1.3830 0.8805 -2.6993
3.0097 -0.8719 -0.3946
-2.5832 -8.2916 -1.3812
Cl Sc Cd
1 2 1
direct
0.5000 0.5000 0.0000
0.0000 0.0000 0.2298
0.0000 0.0000 0.7702
0.5000 0.5000 0.5000
```

- total moment (μB/cell) = 0.003

The most stable of them is (P).

(P)
Here is a relaxed Sc2CdCl crystal from the Alexandria database. Energies are from GGA-PBEsol.

POSCAR file:
```
Sc2CdCl
1.0
4.8768 0.0000 0.0000
2.4384 4.2234 0.0000
2.4384 1.4078 3.9819
Sc Cl Cd
2 1 1
direct
0.7500 0.7500 0.7500
0.2500 0.2500 0.2500
0.0000 0.0000 0.0000
0.5000 0.5000 0.5000
```

- total moment (μB/cell) = 0.001

(Q)
Here is a relaxed Sc2CdCl crystal from the Alexandria database. Energies are from GGA-PBEsol.

POSCAR file:
```
Sc2CdCl
1.0
3.1518 0.0000 0.0000
0.0000 4.7646 0.0000
-1.5759 -2.3823 5.5585
Sc Cl Cd
2 1 1
direct
0.7199 0.2199 0.4399
0.9712 0.9712 0.9424
0.2840 0.7840 0.5679
0.5249 0.5249 0.0498
```

- total moment (μB/cell) = 0.000

The most stable of them is (Q).

(P)
Here is a relaxed CdSe2Cl crystal from the Alexandria database. Energies are from GGA-PBEsol.

POSCAR file:
```
CdSe2Cl
1.0
3.0103 0.0000 0.0000
1.5051 2.6070 0.0000
1.5051 0.8690 10.4867
Se Cd Cl
2 1 1
direct
0.9172 0.9172 0.2484
0.0828 0.0828 0.7516
0.0000 0.0000 0.0000
0.5000 0.5000 0.5000
```

- total moment (μB/cell) = 0.000

(Q)
Here is a relaxed CdSe2Cl crystal from the Alexandria database. Energies are from GGA-PBEsol.

POSCAR file:
```
CdSe2Cl
1.0
3.3046 0.0000 0.0000
0.0000 3.3046 0.0000
0.0000 0.0000 7.9341
Se Cd Cl
2 1 1
direct
0.5000 0.5000 0.2441
0.0000 0.0000 0.0565
0.0000 0.0000 0.5036
0.5000 0.5000 0.6959
```

- total moment (μB/cell) = 0.000

The most stable of them is (Q).

(P)
Here is a relaxed CdSe2Cl crystal from the Alexandria database. Energies are from GGA-PBEsol.

POSCAR file:
```
CdSe2Cl
1.0
4.0098 0.0000 0.0000
2.0049 3.4726 0.0000
2.0049 1.1575 6.4678
Cd Se Cl
1 2 1
direct
0.5000 0.5000 0.5000
0.7614 0.7614 0.7159
0.2386 0.2386 0.2841
0.0000 0.0000 0.0000
```

- total moment (μB/cell) = 0.000

(Q)
Here is a relaxed CdSe2Cl crystal from the Alexandria database. Energies are from GGA-PBEsol.

POSCAR file:
```
CdSe2Cl
1.0
-2.0799 -2.6660 0.6992
0.6588 -1.3292 5.4171
-4.4229 1.9625 2.8518
Cd Se Cl
1 2 1
direct
0.4987 0.5013 0.5013
0.2507 0.2493 0.2493
0.9682 0.0319 0.0319
0.7824 0.7176 0.7176
```

- total moment (μB/cell) = 0.000

(R)
Here is a relaxed CdSe2Cl crystal from the Alexandria database. Energies are from GGA-PBEsol.

POSCAR file:
```
CdSe2Cl
1.0
-0.9684 2.6035 -1.2536
1.4440 -1.7046 -4.6556
-4.6784 -2.0734 -0.6919
Se Cl Cd
2 1 1
direct
0.0000 0.0000 0.5000
0.0000 0.5000 0.0000
0.5000 0.0000 0.0000
0.5000 0.5000 0.5000
```

- total moment (μB/cell) = 0.000

The most stable of them is (Q).

(P)
Here is a relaxed CdTe2Cl crystal from the Alexandria database. Energies are from GGA-PBEsol.

POSCAR file:
```
CdTe2Cl
1.0
-2.3092 -1.7566 -1.5848
3.6666 -3.8510 -1.0742
-1.2753 -2.5079 4.6381
Te Cl Cd
2 1 1
direct
0.0000 0.0000 0.5000
0.0000 0.5000 0.0000
0.5000 0.0000 0.0000
0.5000 0.5000 0.5000
```

- total moment (μB/cell) = 0.002

(Q)
Here is a relaxed CdTe2Cl crystal from the Alexandria database. Energies are from GGA-PBEsol.

POSCAR file:
```
CdTe2Cl
1.0
4.2886 0.0000 0.0000
0.0000 4.2886 0.0000
-2.1443 -2.1443 11.6203
Te Cd Cl
4 2 2
direct
0.3659 0.8750 0.2500
0.8841 0.3750 0.2500
0.6250 0.6341 0.7500
0.1250 0.1159 0.7500
0.0000 0.0000 0.0000
0.2500 0.7500 0.5000
0.7500 0.2500 0.5000
0.5000 0.5000 0.0000
```

- total moment (μB/cell) = 0.000

(R)
Here is a relaxed CdTe2Cl crystal from the Alexandria database. Energies are from GGA-PBEsol.

POSCAR file:
```
CdTe2Cl
1.0
3.5090 0.0000 0.0000
0.0000 3.5090 0.0000
0.0000 0.0000 8.3283
Te Cl Cd
2 1 1
direct
0.0000 0.0000 0.0338
0.5000 0.5000 0.2598
0.5000 0.5000 0.6876
0.0000 0.0000 0.5188
```

- total moment (μB/cell) = 0.000

The most stable of them is (Q).

(P)
Here is a relaxed ZnCdCl2 crystal from the Alexandria database. Energies are from GGA-PBEsol.

POSCAR file:
```
ZnCdCl2
1.0
-1.0250 0.4469 3.0336
-1.9136 -2.5924 -0.2646
5.8127 -4.5597 2.6357
Cl Zn Cd
2 1 1
direct
0.0000 0.0000 0.9510
0.5000 0.5000 0.3182
0.0000 0.0000 0.4807
0.5000 0.5000 0.7501
```

- total moment (μB/cell) = 0.000

(Q)
Here is a relaxed ZnCdCl2 crystal from the Alexandria database. Energies are from GGA-PBEsol.

POSCAR file:
```
ZnCdCl2
1.0
3.4287 0.0000 0.0000
0.0000 4.8245 0.0000
0.0000 0.0000 4.8245
Cd Cl Zn
1 2 1
direct
0.5000 0.0000 0.0000
0.0000 0.0000 0.5000
0.0000 0.5000 0.0000
0.5000 0.5000 0.5000
```

- total moment (μB/cell) = 0.000

(R)
Here is a relaxed ZnCdCl2 crystal from the Alexandria database. Energies are from GGA-PBEsol.

POSCAR file:
```
ZnCdCl2
1.0
-1.9263 2.4949 0.9365
-2.1481 -2.1376 1.2763
4.1353 0.3564 7.5568
Cl Cd Zn
2 1 1
direct
0.0000 0.0000 0.3182
0.0000 0.0000 0.6818
0.5000 0.5000 0.5000
0.5000 0.5000 0.0000
```

- total moment (μB/cell) = 0.000

The most stable of them is (P).